# 1
GGA-PBE CaLaDy2Cd4, relaxed; formation energy = -0.323 eV per atom; total magnetization = 0.0 Bohr magnetons per cell; DFT total energy = -2.80 eV per atom
1.0
-5.002 1.751 0.985
-4.166 -3.402 -0.359
-2.102 -2.618 8.727
Ca La Dy Cd
1 1 2 4
Cartesian
-5.635 -2.134 4.676 Ca
0.000 0.000 0.000 La
-8.457 -3.191 6.976 Dy
-2.813 -1.076 2.377 Dy
-5.283 -2.899 7.828 Cd
-8.809 -2.430 3.837 Cd
-2.462 -1.838 5.515 Cd
-5.988 -1.369 1.525 Cd

---

# 2
GGA-PBE MgScCd, relaxed; formation energy = 0.159 eV per atom; total magnetization = 0.0 Bohr magnetons per cell; DFT total energy = -2.79 eV per atom
1.0
-3.491 2.461 -5.496
-3.889 -1.508 -2.848
-2.055 1.536 1.993
Mg Sc Cd
1 1 1
Cartesian
-3.690 0.476 -4.172 Mg
-1.945 -0.754 -1.424 Sc
-1.028 0.768 0.996 Cd